# 1
DFT (GGA-PBE) results for Tl2RhPb after structural relaxation.

Calculated values
V = 24.2 Å³ per atom
relative energy among the computed polymorphs = 0.325 eV per atom
total magnetic moment = 0.0 μB per formula unit
formation enthalpy at 0 K = 364.6 meV/atom
electronic total energy = -28.7 eV for the cell shown

Structure (CIF):
```
data_Tl2RhPb
_cell_length_a 6.325
_cell_length_b 8.799
_cell_length_c 3.473
_cell_angle_alpha 90.00
_cell_angle_beta 90.00
_cell_angle_gamma 90.00
_symmetry_space_group_name_H-M 'C m m m'
_symmetry_Int_Tables_number 65
_symmetry_space_group_name_Hall '-C 2 2'
loop_
_atom_site_label
_atom_site_fract_x
_atom_site_fract_y
_atom_site_fract_z
_atom_site_occupancy
Tl1 0.250 0.250 0.000 1
Rh1 0.000 0.000 0.500 1
Pb1 0.000 0.500 0.500 1
```


# 2
DFT (GGA-PBE) results for SrPr2Ag2Pb2 after structural relaxation.

Calculated values
V = 30.0 Å³ per atom
total magnetic moment = 0.0 μB per formula unit
formation enthalpy at 0 K = -339.4 meV/atom
electronic total energy = -80.2 eV for the cell shown

Structure (CIF):
```
data_SrPr2Ag2Pb2
_cell_length_a 5.0519
_cell_length_b 5.0519
_cell_length_c 28.4741
_cell_angle_alpha 90.00
_cell_angle_beta 90.00
_cell_angle_gamma 120.00
_symmetry_space_group_name_H-M 'R -3 m'
_symmetry_Int_Tables_number 166
_symmetry_space_group_name_Hall '-R 3 2"'
loop_
_atom_site_label
_atom_site_fract_x
_atom_site_fract_y
_atom_site_fract_z
_atom_site_occupancy
Sr1 0.0000 0.0000 0.0000 1
Pr1 0.0000 0.0000 0.1380 1
Ag1 0.0000 0.0000 0.4417 1
Pb1 0.0000 0.0000 0.2609 1
```


# 3
DFT (GGA-PBE) results for PuInHgPb after structural relaxation.

Calculated values
V = 26.2 Å³ per atom
relative energy among the computed polymorphs = 0.000 eV per atom
total magnetic moment = 5.7 μB per formula unit
formation enthalpy at 0 K = -160.2 meV/atom
electronic total energy = -21.7 eV for the cell shown

Structure (CIF):
```
data_PuInHgPb
_cell_length_a 4.629
_cell_length_b 4.643
_cell_length_c 4.872
_cell_angle_alpha 90.00
_cell_angle_beta 90.00
_cell_angle_gamma 90.00
_symmetry_space_group_name_H-M 'P m m m'
_symmetry_Int_Tables_number 47
loop_
_symmetry_equiv_pos_as_xyz
'x,y,z'
'-x,-y,-z'
'-x,-y,z'
'x,y,-z'
'x,-y,-z'
'-x,y,z'
'-x,y,-z'
'x,-y,z'
loop_
_atom_site_label
_atom_site_fract_x
_atom_site_fract_y
_atom_site_fract_z
_atom_site_occupancy
Pu1 0.000 0.000 0.000 1
In1 0.000 0.500 0.500 1
Hg1 0.500 0.000 0.500 1
Pb1 0.500 0.500 0.000 1
```


# 4
DFT (GGA-PBE) results for NdY4Al after structural relaxation.

Calculated values
V = 30.5 Å³ per atom
relative energy among the computed polymorphs = 0.071 eV per atom
total magnetic moment = 0.0 μB per formula unit
formation enthalpy at 0 K = -57.9 meV/atom
electronic total energy = -138.9 eV for the cell shown

Structure (CIF):
```
data_NdY4Al
_cell_length_a 8.942
_cell_length_b 13.953
_cell_length_c 6.228
_cell_angle_alpha 90.00
_cell_angle_beta 109.64
_cell_angle_gamma 90.00
_symmetry_space_group_name_H-M 'C 1 2/c 1'
_symmetry_Int_Tables_number 15
loop_
_symmetry_equiv_pos_as_xyz
'x,y,z'
'-x,-y,-z'
'-x,y,-z+1/2'
'x,-y,z+1/2'
'x+1/2,y+1/2,z'
'-x+1/2,-y+1/2,-z'
'-x+1/2,y+1/2,-z+1/2'
'x+1/2,-y+1/2,z+1/2'
loop_
_atom_site_label
_atom_site_fract_x
_atom_site_fract_y
_atom_site_fract_z
_atom_site_occupancy
Nd1 0.000 0.111 0.250 1
Y1 0.102 0.319 0.557 1
Y2 0.218 0.100 0.861 1
Al1 0.000 0.499 0.750 1
```


Q: Look up the total magnetic moment of the second one.
A: 0.0 μB per formula unit


Q: Number 2 is which compound?
A: SrPr2Ag2Pb2